{
  "formula": "Y3HoTe4",
  "functional": "PBE",
  "state": "relaxed",
  "lattice": [[7.5702, 0.0000, 0.0000], [0.0000, 8.6588, 0.0000], [-2.5052, 0.0000, 7.1418]],
  "species": ["Y", "Y", "Y", "Y", "Y", "Y", "Ho", "Ho", "Te", "Te", "Te", "Te", "Te", "Te", "Te", "Te"],
  "fractional_positions": [[0.0000, 0.1242, 0.2500], [0.0000, 0.3742, 0.7500], [0.0000, 0.6258, 0.2500], [0.0000, 0.8758, 0.7500], [0.5000, 0.1244, 0.7500], [0.5000, 0.8756, 0.2500], [0.5000, 0.3745, 0.2500], [0.5000, 0.6255, 0.7500], [0.2509, 0.1260, 0.0011], [0.2509, 0.8740, 0.5011], [0.2517, 0.3759, 0.4998], [0.2517, 0.6241, 0.9998], [0.7483, 0.3759, 0.0002], [0.7483, 0.6241, 0.5002], [0.7491, 0.1260, 0.4989], [0.7491, 0.8740, 0.9989]],
  "de_polymorph_mev_per_atom": 0,
  "space_group": "P2/c",
  "total_magnetization_mub_per_fu": 0.000,
  "e_form_raw_ev_per_atom": -1.30,
  "rho_g_cm3": 6.68
}

{
  "formula": "Te2AsP",
  "functional": "PBE",
  "state": "relaxed",
  "lattice": [[5.7951, 0.0000, 0.0000], [0.0000, 5.7951, 0.0000], [0.0000, 0.0000, 5.9761]],
  "species": ["Te", "Te", "Te", "Te", "As", "As", "P", "P"],
  "fractional_positions": [[0.0000, 0.5000, 0.0000], [0.0000, 0.5000, 0.5000], [0.5000, 0.0000, 0.0000], [0.5000, 0.0000, 0.5000], [0.0000, 0.0000, 0.0000], [0.5000, 0.5000, 0.5000], [0.0000, 0.0000, 0.5000], [0.5000, 0.5000, 0.0000]],
  "de_polymorph_mev_per_atom": 133,
  "space_group": "I4/mmm",
  "total_magnetization_mub_per_fu": 0.000,
  "e_form_raw_ev_per_atom": 0.27,
  "rho_g_cm3": 5.98
}

{
  "formula": "Tb6ScCd",
  "functional": "PBE",
  "state": "relaxed",
  "lattice": [[6.4548, 0.0000, 0.0000], [-3.0578, 5.6897, 0.0000], [-0.6138, -1.0146, 6.4732]],
  "species": ["Tb", "Tb", "Tb", "Tb", "Tb", "Tb", "Sc", "Cd"],
  "fractional_positions": [[0.0984, 0.1536, 0.2417], [0.2510, 0.7506, 0.4474], [0.3462, 0.4016, 0.7588], [0.6538, 0.5984, 0.2412], [0.7490, 0.2494, 0.5526], [0.9016, 0.8464, 0.7583], [0.5000, 0.0000, 0.0000], [0.0000, 0.5000, 0.0000]],
  "de_polymorph_mev_per_atom": 8,
  "ef_mev_per_atom": -20.3,
  "space_group": "P-1",
  "total_magnetization_mub_per_fu": 0.000,
  "rho_g_cm3": 7.76
}

{
  "formula": "Ni2PtRh",
  "functional": "PBE",
  "state": "relaxed",
  "lattice": [[6.5990, 0.0000, 0.0000], [0.0000, 6.5990, 0.0000], [0.0000, 0.0000, 5.2689]],
  "species": ["Ni", "Ni", "Ni", "Ni", "Ni", "Ni", "Ni", "Ni", "Pt", "Pt", "Pt", "Pt", "Rh", "Rh", "Rh", "Rh"],
  "fractional_positions": [[0.2435, 0.2500, 0.1250], [0.2500, 0.7435, 0.3750], [0.2500, 0.7565, 0.8750], [0.2565, 0.2500, 0.6250], [0.7435, 0.7500, 0.6250], [0.7500, 0.2435, 0.8750], [0.7500, 0.2565, 0.3750], [0.7565, 0.7500, 0.1250], [0.0000, 0.0000, 0.5000], [0.0000, 0.5000, 0.7500], [0.5000, 0.0000, 0.2500], [0.5000, 0.5000, 0.0000], [0.0000, 0.0000, 0.0000], [0.0000, 0.5000, 0.2500], [0.5000, 0.0000, 0.7500], [0.5000, 0.5000, 0.5000]],
  "ef_mev_per_atom": 422.5,
  "space_group": "I-42d",
  "total_magnetization_mub_per_fu": 1.304,
  "rho_g_cm3": 12.02
}

{
  "formula": "DyHo2Pd4",
  "functional": "PBE",
  "state": "relaxed",
  "lattice": [[5.9783, 0.0000, 0.0000], [0.0000, 8.4335, 0.0000], [-1.5058, 0.0000, 7.0929]],
  "species": ["Dy", "Dy", "Ho", "Ho", "Ho", "Ho", "Pd", "Pd", "Pd", "Pd", "Pd", "Pd", "Pd", "Pd"],
  "fractional_positions": [[0.0000, 0.0000, 0.0000], [0.5000, 0.5000, 0.0000], [0.0712, 0.5000, 0.2633], [0.4288, 0.0000, 0.7367], [0.5712, 0.0000, 0.2633], [0.9288, 0.5000, 0.7367], [0.1479, 0.0000, 0.3801], [0.2500, 0.2500, 0.0000], [0.2500, 0.7500, 0.0000], [0.3521, 0.5000, 0.6199], [0.6479, 0.5000, 0.3801], [0.7500, 0.2500, 0.0000], [0.7500, 0.7500, 0.0000], [0.8521, 0.0000, 0.6199]],
  "ef_mev_per_atom": -323.9,
  "space_group": "C2/m",
  "total_magnetization_mub_per_fu": 0.000,
  "rho_g_cm3": 8.53
}

{
  "formula": "Ti12Ga6Pt",
  "functional": "PBE",
  "state": "relaxed",
  "lattice": [[4.7702, 2.7541, 3.9419], [-4.7702, 2.7541, 3.9419], [0.0000, -5.5081, 3.9419]],
  "species": ["Ti", "Ti", "Ti", "Ti", "Ti", "Ti", "Ti", "Ti", "Ti", "Ti", "Ti", "Ti", "Ga", "Ga", "Ga", "Ga", "Ga", "Ga", "Pt"],
  "fractional_positions": [[0.0208, 0.9389, 0.3063], [0.0611, 0.6937, 0.9792], [0.1177, 0.4442, 0.3549], [0.3063, 0.0208, 0.9389], [0.3549, 0.1177, 0.4442], [0.4442, 0.3549, 0.1177], [0.5558, 0.6451, 0.8823], [0.6451, 0.8823, 0.5558], [0.6937, 0.9792, 0.0611], [0.8823, 0.5558, 0.6451], [0.9389, 0.3063, 0.0208], [0.9792, 0.0611, 0.6937], [0.2302, 0.3784, 0.7594], [0.2406, 0.7698, 0.6216], [0.3784, 0.7594, 0.2302], [0.6216, 0.2406, 0.7698], [0.7594, 0.2302, 0.3784], [0.7698, 0.6216, 0.2406], [0.5000, 0.5000, 0.5000]],
  "ef_mev_per_atom": -321.7,
  "space_group": "R-3",
  "total_magnetization_mub_per_fu": 0.000,
  "rho_g_cm3": 6.35
}